1.
Material: Nd4HgSbC
Method: DFT, PBE-GGA
State: optimized geometry

As for the calculated volume: 405.40 Å³/cell. As for the space group: Cmcm. The crystal system is orthorhombic. The value obtained for the formation energy (no corrections) is -0.494 eV per atom. As for the density: 7.47 g cm⁻³. The value obtained for the total magnetization is 0.00 μB per formula unit.

Unit cell a=7.118 b=7.111 c=8.764 alpha=90.00 beta=113.96 gamma=90.00
Positions (direct):
1 Nd 0.000 0.500 0.500
2 Nd 0.500 0.500 0.500
3 Nd 0.000 0.000 0.500
4 Nd 0.917 0.250 0.835
5 Nd 0.412 0.750 0.824
6 Nd 0.500 0.000 0.500
7 Nd 0.588 0.250 0.176
8 Nd 0.083 0.750 0.165
9 Hg 0.884 0.750 0.769
10 Hg 0.116 0.250 0.231
11 Sb 0.612 0.750 0.225
12 Sb 0.388 0.250 0.775
13 C 0.750 0.250 0.499
14 C 0.250 0.750 0.501

=====

2.
Material: CePm2Sm3N6
Method: DFT, PBE-GGA
State: optimized geometry

As for the calculated volume: 196.04 Å³/cell. As for the space group: C2/m. The crystal system is monoclinic. The value obtained for the formation energy (no corrections) is -1.487 eV per atom. As for the density: 8.18 g cm⁻³. The value obtained for the total magnetization is 0.00 μB per formula unit.

Unit cell a=3.593 b=7.184 c=8.008 alpha=102.93 beta=102.96 gamma=90.00
Positions (direct):
1 N 0.334 0.415 0.668
2 N 0.999 0.241 0.998
3 N 0.662 0.079 0.323
4 N 0.338 0.921 0.677
5 N 0.001 0.759 0.002
6 N 0.666 0.585 0.332
7 Sm 0.833 0.168 0.666
8 Sm 0.167 0.832 0.334
9 Sm 0.500 0.500 0.000
10 Pm 0.833 0.665 0.666
11 Pm 0.167 0.335 0.334
12 Ce 0.500 0.000 0.000

=====

3.
Material: Sn3SbSe
Method: DFT, PBE-GGA
State: optimized geometry

As for the calculated volume: 644.27 Å³/cell. As for the space group: C2/c. The crystal system is monoclinic. The value obtained for the formation energy (no corrections) is -0.007 eV per atom. As for the density: 5.74 g cm⁻³. As for the energy above the most stable polymorph in this dataset: 0.000 eV per atom. The value obtained for the total magnetization is 0.00 μB per formula unit.

Unit cell a=9.616 b=9.616 c=8.724 alpha=99.49 beta=99.49 gamma=121.88
Positions (direct):
1 Se 0.872 0.128 0.750
2 Se 0.352 0.648 0.750
3 Se 0.648 0.352 0.250
4 Se 0.128 0.872 0.250
5 Sn 0.604 0.688 0.008
6 Sn 0.312 0.396 0.492
7 Sn 0.688 0.604 0.508
8 Sn 0.908 0.069 0.067
9 Sn 0.396 0.312 0.992
10 Sn 0.069 0.908 0.567
11 Sn 0.424 0.981 0.149
12 Sn 0.931 0.092 0.433
13 Sn 0.092 0.931 0.933
14 Sn 0.981 0.424 0.649
15 Sn 0.576 0.019 0.851
16 Sn 0.019 0.576 0.351
17 Sb 0.458 0.201 0.687
18 Sb 0.799 0.542 0.813
19 Sb 0.542 0.799 0.313
20 Sb 0.201 0.458 0.187

=====

4.
Material: LiCu5Pd4
Method: DFT, PBE-GGA
State: optimized geometry

The formation energy is -3 kJ per mole of atoms. As for the calculated volume: 144.07 Å³/cell. As for the space group: C2/m. The crystal system is monoclinic. As for the density: 8.65 g cm⁻³. As for the energy above the most stable polymorph in this dataset: 0.096 eV per atom. The value obtained for the total magnetization is 0.00 μB per formula unit.

Unit cell a=4.256 b=7.377 c=5.061 alpha=91.68 beta=114.86 gamma=90.00
Positions (direct):
1 Cu 0.832 0.044 0.664
2 Cu 0.240 0.590 0.479
3 Cu 0.760 0.410 0.521
4 Cu 0.500 0.500 0.000
5 Cu 0.168 0.956 0.336
6 Pd 0.964 0.703 0.928
7 Pd 0.036 0.297 0.072
8 Pd 0.675 0.760 0.351
9 Pd 0.325 0.240 0.649
10 Li 0.500 0.000 0.000